Entry 1:
{
  "formula": "KBeSe2",
  "functional": "PBE",
  "state": "relaxed",
  "raw_formation_energy_ev_per_fu": -1.558,
  "final_energy_ev_per_cell": -13.35,
  "magmom_total_mub_per_cell": 0.002,
  "space_group": "P4mm, No. 99",
  "density_g_cm3": 3.6,
  "cell": [[3.3928, 0.0000, 0.0000], [0.0000, 3.3928, 0.0000], [0.0000, 0.0000, 8.1982]],
  "species": ["K", "Be", "Se", "Se"],
  "frac_coords": [[0.0000, 0.0000, 0.0000], [0.5000, 0.5000, 0.5202], [0.0000, 0.0000, 0.6113], [0.5000, 0.5000, 0.2542]]
}

***

Entry 2:
{
  "formula": "Pm6Tm2Th",
  "functional": "PBE",
  "state": "relaxed",
  "formation_enthalpy_0k_mev_per_atom": 57,
  "final_energy_ev_per_cell": -44.35,
  "magmom_total_mub_per_cell": 0.000,
  "space_group": "P-6m2, No. 187",
  "density_g_cm3": 7.9,
  "cell": [[3.6058, 0.0000, 0.0000], [-1.8029, 3.1227, 0.0000], [0.0000, 0.0000, 26.8654]],
  "species": ["Pm", "Pm", "Pm", "Pm", "Pm", "Pm", "Tm", "Tm", "Th"],
  "frac_coords": [[0.0000, 0.0000, 0.0668], [0.0000, 0.0000, 0.2774], [0.0000, 0.0000, 0.7226], [0.0000, 0.0000, 0.9332], [0.3333, 0.6667, 0.3904], [0.3333, 0.6667, 0.6096], [0.3333, 0.6667, 0.1705], [0.3333, 0.6667, 0.8295], [0.0000, 0.0000, 0.5000]]
}

***

Entry 3:
{
  "formula": "K2Al2Ga",
  "functional": "PBE",
  "state": "relaxed",
  "formation_enthalpy_0k_mev_per_atom": 170,
  "final_energy_ev_per_cell": -23.71,
  "magmom_total_mub_per_cell": 0.000,
  "space_group": "P4/mbm, No. 127",
  "density_g_cm3": 2.3,
  "cell": [[6.9209, 0.0000, 0.0000], [0.0000, 6.9209, 0.0000], [0.0000, 0.0000, 5.9694]],
  "species": ["K", "K", "K", "K", "Al", "Al", "Al", "Al", "Ga", "Ga"],
  "frac_coords": [[0.1836, 0.3164, 0.0000], [0.3164, 0.8164, 0.0000], [0.6836, 0.1836, 0.0000], [0.8164, 0.6836, 0.0000], [0.1344, 0.6344, 0.5000], [0.3656, 0.1344, 0.5000], [0.6344, 0.8656, 0.5000], [0.8656, 0.3656, 0.5000], [0.0000, 0.0000, 0.5000], [0.5000, 0.5000, 0.5000]]
}